No. 1
A relaxed TaPRhCl2 crystal, computed with PBE.

**Formation energy without anion corrections**: 0.82 eV/atom
**Total DFT energy (no corrections)**: -24.19 eV per cell
**M_tot**: 1.98 μB/f.u.

a b c (Å): 4.5730 4.5730 4.8162
angles (deg): 90.00 90.00 90.00
With the nearest neighbours (Å) after each atom.
Fractional positions:
Ta 0.0000 0.0000 0.0000  4 P 3.23, 8 Cl 3.32
P 0.5000 0.5000 0.0000  2 Rh 2.41
Rh 0.5000 0.5000 0.5000  4 Cl 2.29, 2 P 2.41
Cl 0.0000 0.5000 0.5000  2 Rh 2.29
Cl 0.5000 0.0000 0.5000  2 Rh 2.29

=====

No. 2
A relaxed Al2TeP crystal, computed with PBE.

**Formation energy without anion corrections**: -0.05 eV/atom
**Total DFT energy (no corrections)**: -32.48 eV per cell
**M_tot**: 0.00 μB/f.u.

a b c (Å): 3.4525 3.6134 13.1330
angles (deg): 90.00 90.00 90.00
With the nearest neighbours (Å) after each atom.
Fractional positions:
Al 0.0000 0.0000 0.0000  2 P 2.52
Al 0.0000 0.5000 0.1937  4 P 2.60
Al 0.5000 0.0000 0.6937  4 P 2.60
Al 0.5000 0.5000 0.5000  2 P 2.52
Te 0.0000 0.0000 0.3842  6 Al 2.93-3.09
Te 0.5000 0.5000 0.8842  6 Al 2.93-3.09
P 0.0000 0.5000 0.6399  6 Al 2.52-2.60
P 0.5000 0.0000 0.1399  6 Al 2.52-2.60

=====

No. 3
A relaxed MgV crystal, computed with PBE.

**Total DFT energy (no corrections)**: -39.99 eV per cell
**M_tot**: 0.00 μB/f.u.
**Energy of formation**: 358 meV per atom

a b c (Å): 6.1247 7.9086 2.9635
angles (deg): 90.00 94.25 90.00
With the nearest neighbours (Å) after each atom.
Fractional positions:
Mg 0.0000 0.1879 0.0000  8 V 2.86-3.19, 3 Mg 2.96-2.97
Mg 0.0000 0.8121 0.0000  8 V 2.86-3.19, 3 Mg 2.96-2.97
Mg 0.5000 0.3121 0.0000  8 V 2.86-3.19, 3 Mg 2.96-2.97
Mg 0.5000 0.6879 0.0000  8 V 2.86-3.19, 3 Mg 2.96-2.97
V 0.1457 0.5000 0.4101  1 V 1.90
V 0.3543 0.0000 0.5899  1 V 1.90
V 0.6457 0.0000 0.4101  1 V 1.90
V 0.8543 0.5000 0.5899  1 V 1.90

=====

No. 4
A relaxed Zr2CrOs crystal, computed with PBE.

**Total DFT energy (no corrections)**: -74.99 eV per cell
**M_tot**: 0.00 μB/f.u.
**Energy of formation**: 113 meV per atom

a b c (Å): 5.7816 8.6782 2.9587
angles (deg): 90.00 111.43 90.00
With the nearest neighbours (Å) after each atom.
Fractional positions:
Zr 0.2500 0.2500 0.0000  2 Cr 2.72, 2 Os 2.72, 4 Zr 2.89-2.96
Zr 0.2500 0.7500 0.0000  2 Cr 2.72, 2 Os 2.72, 4 Zr 2.89-2.96
Zr 0.7500 0.2500 0.0000  2 Cr 2.72, 2 Os 2.72, 4 Zr 2.89-2.96
Zr 0.7500 0.7500 0.0000  2 Cr 2.72, 2 Os 2.72, 4 Zr 2.89-2.96
Cr 0.0000 0.0000 0.5000  4 Zr 2.72, 2 Os 2.89, 2 Cr 2.96
Cr 0.5000 0.5000 0.5000  4 Zr 2.72, 2 Os 2.89, 2 Cr 2.96
Os 0.0000 0.5000 0.5000  4 Zr 2.72, 2 Cr 2.89, 2 Os 2.96
Os 0.5000 0.0000 0.5000  4 Zr 2.72, 2 Cr 2.89, 2 Os 2.96